Record 1
# Dy5Mg4Ru, relaxed, DFT PBE-GGA
data_Dy5Mg4Ru
_space_group_name_H-M_alt 'P 4/m m m'
_space_group_IT_number 123
_space_group_name_Hall '-P 4 2'
_cell_length_a 3.592
_cell_length_b 3.592
_cell_length_c 19.828
_cell_angle_alpha 90.00
_cell_angle_beta 90.00
_cell_angle_gamma 90.00
loop_
_atom_site_label
_atom_site_type_symbol
_atom_site_fract_x
_atom_site_fract_y
_atom_site_fract_z
Dy1 Dy 0.000 0.000 0.000
Dy2 Dy 0.000 0.000 0.205
Dy3 Dy 0.000 0.000 0.420
Mg1 Mg 0.500 0.500 0.103
Mg2 Mg 0.500 0.500 0.308
Ru1 Ru 0.500 0.500 0.500
# final energy: -40.2 eV/cell



Record 2
# Dy5Mg2Ru2, relaxed, DFT PBE-GGA
data_Dy5Mg2Ru2
_space_group_name_H-M_alt 'I m a 2'
_space_group_IT_number 46
_cell_length_a 16.414
_cell_length_b 8.595
_cell_length_c 6.581
_cell_angle_alpha 90.00
_cell_angle_beta 90.00
_cell_angle_gamma 90.00
loop_
_space_group_symop_operation_xyz
'x,y,z'
'-x,-y,z'
'-x+1/2,y,z'
'x+1/2,-y,z'
'x+1/2,y+1/2,z+1/2'
'-x+1/2,-y+1/2,z+1/2'
'-x,y+1/2,z+1/2'
'x,-y+1/2,z+1/2'
loop_
_atom_site_label
_atom_site_type_symbol
_atom_site_fract_x
_atom_site_fract_y
_atom_site_fract_z
Dy1 Dy 0.038 0.203 0.000
Dy2 Dy 0.152 0.603 0.710
Dy3 Dy 0.250 0.207 0.568
Mg1 Mg 0.105 0.539 0.186
Ru1 Ru 0.000 0.000 0.350
Ru2 Ru 0.250 0.000 0.892
# final energy: -182.7 eV/cell



Record 3
# Dy6MgRu5, relaxed, DFT PBE-GGA
data_Dy6MgRu5
_space_group_name_H-M_alt 'I m m m'
_space_group_IT_number 71
_space_group_name_Hall '-I 2 2'
_cell_length_a 4.881
_cell_length_b 6.941
_cell_length_c 14.515
_cell_angle_alpha 90.00
_cell_angle_beta 90.00
_cell_angle_gamma 90.00
loop_
_atom_site_label
_atom_site_type_symbol
_atom_site_fract_x
_atom_site_fract_y
_atom_site_fract_z
Dy1 Dy 0.000 0.233 0.000
Dy2 Dy 0.000 0.259 0.327
Mg1 Mg 0.000 0.000 0.500
Ru1 Ru 0.000 0.000 0.166
Ru2 Ru 0.000 0.500 0.161
Ru3 Ru 0.000 0.500 0.500
# final energy: -158.8 eV/cell



Record 4
# Dy3MgRu, relaxed, DFT PBE-GGA
data_Dy3MgRu
_space_group_name_H-M_alt 'P 1 21/c 1'
_space_group_IT_number 14
_cell_length_a 9.684
_cell_length_b 5.935
_cell_length_c 10.508
_cell_angle_alpha 90.00
_cell_angle_beta 118.28
_cell_angle_gamma 90.00
loop_
_space_group_symop_operation_xyz
'x,y,z'
'-x,-y,-z'
'-x,y+1/2,-z+1/2'
'x,-y+1/2,z+1/2'
loop_
_atom_site_label
_atom_site_type_symbol
_atom_site_fract_x
_atom_site_fract_y
_atom_site_fract_z
Dy1 Dy 0.007 0.134 0.360
Dy2 Dy 0.236 0.568 0.512
Dy3 Dy 0.366 0.075 0.730
Mg1 Mg 0.345 0.537 0.871
Ru1 Ru 0.090 0.175 0.137
# distance to the lowest polymorph of the same formula: 0 meV/atom



Record 5
# Dy3MgRu, relaxed, DFT PBE-GGA
data_Dy3MgRu
_space_group_name_H-M_alt 'P m -3 m'
_space_group_IT_number 221
_space_group_name_Hall '-P 4 2 3'
_cell_length_a 5.346
_cell_length_b 5.346
_cell_length_c 5.346
_cell_angle_alpha 90.00
_cell_angle_beta 90.00
_cell_angle_gamma 90.00
loop_
_atom_site_label
_atom_site_type_symbol
_atom_site_fract_x
_atom_site_fract_y
_atom_site_fract_z
Dy1 Dy 0.000 0.000 0.500
Mg1 Mg 0.500 0.500 0.500
Ru1 Ru 0.000 0.000 0.000
# distance to the lowest polymorph of the same formula: 86 meV/atom



Record 6
# Dy3Mg2Ru, relaxed, DFT PBE-GGA
data_Dy3Mg2Ru
_space_group_name_H-M_alt 'C m m m'
_space_group_IT_number 65
_space_group_name_Hall '-C 2 2'
_cell_length_a 5.009
_cell_length_b 14.874
_cell_length_c 7.968
_cell_angle_alpha 90.00
_cell_angle_beta 90.00
_cell_angle_gamma 90.00
loop_
_atom_site_label
_atom_site_type_symbol
_atom_site_fract_x
_atom_site_fract_y
_atom_site_fract_z
Dy1 Dy 0.000 0.000 0.220
Dy2 Dy 0.000 0.325 0.209
Mg1 Mg 0.000 0.167 0.500
Mg2 Mg 0.000 0.500 0.000
Mg3 Mg 0.000 0.500 0.500
Ru1 Ru 0.000 0.160 0.000
# final energy: -110.3 eV/cell



Record 7
# Dy2MgRu, relaxed, DFT PBE-GGA
data_Dy2MgRu
_space_group_name_H-M_alt 'P 4/m m m'
_space_group_IT_number 123
_space_group_name_Hall '-P 4 2'
_cell_length_a 4.950
_cell_length_b 4.950
_cell_length_c 3.655
_cell_angle_alpha 90.00
_cell_angle_beta 90.00
_cell_angle_gamma 90.00
loop_
_atom_site_label
_atom_site_type_symbol
_atom_site_fract_x
_atom_site_fract_y
_atom_site_fract_z
Dy1 Dy 0.000 0.500 0.000
Mg1 Mg 0.000 0.000 0.500
Ru1 Ru 0.500 0.500 0.500
# final energy: -20.7 eV/cell



Record 8
# Dy2MgRu, relaxed, DFT PBE-GGA
data_Dy2MgRu
_space_group_name_H-M_alt 'P 4/m m m'
_space_group_IT_number 123
_space_group_name_Hall '-P 4 2'
_cell_length_a 3.441
_cell_length_b 3.441
_cell_length_c 8.099
_cell_angle_alpha 90.00
_cell_angle_beta 90.00
_cell_angle_gamma 90.00
loop_
_atom_site_label
_atom_site_type_symbol
_atom_site_fract_x
_atom_site_fract_y
_atom_site_fract_z
Dy1 Dy 0.000 0.000 0.204
Mg1 Mg 0.500 0.500 0.500
Ru1 Ru 0.500 0.500 0.000
# final energy: -21.2 eV/cell



Record 9
# Dy6MgRu2, relaxed, DFT PBE-GGA
data_Dy6MgRu2
_space_group_name_H-M_alt 'I m m m'
_space_group_IT_number 71
_space_group_name_Hall '-I 2 2'
_cell_length_a 9.375
_cell_length_b 9.582
_cell_length_c 10.490
_cell_angle_alpha 90.00
_cell_angle_beta 90.00
_cell_angle_gamma 90.00
loop_
_atom_site_label
_atom_site_type_symbol
_atom_site_fract_x
_atom_site_fract_y
_atom_site_fract_z
Dy1 Dy 0.000 0.205 0.240
Dy2 Dy 0.186 0.500 0.174
Dy3 Dy 0.215 0.317 0.500
Mg1 Mg 0.000 0.000 0.000
Mg2 Mg 0.000 0.000 0.500
Ru1 Ru 0.000 0.316 0.000
Ru2 Ru 0.000 0.500 0.374
# distance to the lowest polymorph of the same formula: 0 meV/atom



Record 10
# Dy4Mg3Ru, relaxed, DFT PBE-GGA
data_Dy4Mg3Ru
_space_group_name_H-M_alt 'P 4/m m m'
_space_group_IT_number 123
_space_group_name_Hall '-P 4 2'
_cell_length_a 3.512
_cell_length_b 3.512
_cell_length_c 16.514
_cell_angle_alpha 90.00
_cell_angle_beta 90.00
_cell_angle_gamma 90.00
loop_
_atom_site_label
_atom_site_type_symbol
_atom_site_fract_x
_atom_site_fract_y
_atom_site_fract_z
Dy1 Dy 0.000 0.000 0.098
Dy2 Dy 0.000 0.000 0.369
Mg1 Mg 0.500 0.500 0.239
Mg2 Mg 0.500 0.500 0.500
Ru1 Ru 0.500 0.500 0.000
# final energy: -33.9 eV/cell



Record 11
# Dy6MgRu, relaxed, DFT PBE-GGA
data_Dy6MgRu
_space_group_name_H-M_alt 'C 1 2/m 1'
_space_group_IT_number 12
_cell_length_a 7.228
_cell_length_b 11.352
_cell_length_c 6.417
_cell_angle_alpha 90.00
_cell_angle_beta 114.12
_cell_angle_gamma 90.00
loop_
_space_group_symop_operation_xyz
'x,y,z'
'-x,-y,-z'
'-x,y,-z'
'x,-y,z'
'x+1/2,y+1/2,z'
'-x+1/2,-y+1/2,-z'
'-x+1/2,y+1/2,-z'
'x+1/2,-y+1/2,z'
loop_
_atom_site_label
_atom_site_type_symbol
_atom_site_fract_x
_atom_site_fract_y
_atom_site_fract_z
Dy1 Dy 0.202 0.197 0.245
Dy2 Dy 0.227 0.000 0.775
Mg1 Mg 0.000 0.500 0.500
Ru1 Ru 0.000 0.000 0.000
# final energy: -75.9 eV/cell



Record 12
# Dy6Mg2Ru, relaxed, DFT PBE-GGA
data_Dy6Mg2Ru
_space_group_name_H-M_alt 'P 1 21/c 1'
_space_group_IT_number 14
_cell_length_a 6.400
_cell_length_b 7.759
_cell_length_c 11.418
_cell_angle_alpha 90.00
_cell_angle_beta 114.89
_cell_angle_gamma 90.00
loop_
_space_group_symop_operation_xyz
'x,y,z'
'-x,-y,-z'
'-x,y+1/2,-z+1/2'
'x,-y+1/2,z+1/2'
loop_
_atom_site_label
_atom_site_type_symbol
_atom_site_fract_x
_atom_site_fract_y
_atom_site_fract_z
Dy1 Dy 0.123 0.026 0.255
Dy2 Dy 0.165 0.698 0.032
Dy3 Dy 0.364 0.170 0.015
Mg1 Mg 0.379 0.095 0.739
Ru1 Ru 0.500 0.000 0.500
# final energy: -80.8 eV/cell



Record 13
# Dy2Mg3Ru2, relaxed, DFT PBE-GGA
data_Dy2Mg3Ru2
_space_group_name_H-M_alt 'C 1 2/m 1'
_space_group_IT_number 12
_cell_length_a 10.141
_cell_length_b 4.369
_cell_length_c 6.997
_cell_angle_alpha 90.00
_cell_angle_beta 98.77
_cell_angle_gamma 90.00
loop_
_space_group_symop_operation_xyz
'x,y,z'
'-x,-y,-z'
'-x,y,-z'
'x,-y,z'
'x+1/2,y+1/2,z'
'-x+1/2,-y+1/2,-z'
'-x+1/2,y+1/2,-z'
'x+1/2,-y+1/2,z'
loop_
_atom_site_label
_atom_site_type_symbol
_atom_site_fract_x
_atom_site_fract_y
_atom_site_fract_z
Dy1 Dy 0.130 0.000 0.370
Mg1 Mg 0.000 0.500 0.000
Mg2 Mg 0.183 0.000 0.860
Ru1 Ru 0.082 0.500 0.648
# final energy: -68.1 eV/cell



Record 14
# Dy5MgRu3, relaxed, DFT PBE-GGA
data_Dy5MgRu3
_space_group_name_H-M_alt 'C 1 2/m 1'
_space_group_IT_number 12
_cell_length_a 11.476
_cell_length_b 9.614
_cell_length_c 10.368
_cell_angle_alpha 90.00
_cell_angle_beta 123.03
_cell_angle_gamma 90.00
loop_
_space_group_symop_operation_xyz
'x,y,z'
'-x,-y,-z'
'-x,y,-z'
'x,-y,z'
'x+1/2,y+1/2,z'
'-x+1/2,-y+1/2,-z'
'-x+1/2,y+1/2,-z'
'x+1/2,-y+1/2,z'
loop_
_atom_site_label
_atom_site_type_symbol
_atom_site_fract_x
_atom_site_fract_y
_atom_site_fract_z
Dy1 Dy 0.000 0.234 0.000
Dy2 Dy 0.088 0.000 0.389
Dy3 Dy 0.165 0.288 0.676
Dy4 Dy 0.247 0.000 0.982
Mg1 Mg 0.078 0.500 0.303
Ru1 Ru 0.000 0.500 0.000
Ru2 Ru 0.000 0.500 0.500
Ru3 Ru 0.138 0.000 0.162
Ru4 Ru 0.192 0.000 0.698
# final energy: -214.1 eV/cell



Record 15
# Dy5Mg4Ru4, relaxed, DFT PBE-GGA
data_Dy5Mg4Ru4
_space_group_name_H-M_alt 'I 4/m'
_space_group_IT_number 87
_space_group_name_Hall '-I 4'
_cell_length_a 11.464
_cell_length_b 11.464
_cell_length_c 4.223
_cell_angle_alpha 90.00
_cell_angle_beta 90.00
_cell_angle_gamma 90.00
loop_
_atom_site_label
_atom_site_type_symbol
_atom_site_fract_x
_atom_site_fract_y
_atom_site_fract_z
Dy1 Dy 0.000 0.000 0.000
Dy2 Dy 0.130 0.796 0.500
Mg1 Mg 0.085 0.390 0.500
Ru1 Ru 0.061 0.239 0.000
# final energy: -139.7 eV/cell



Record 16
# Dy12MgRu6, relaxed, DFT PBE-GGA
data_Dy12MgRu6
_space_group_name_H-M_alt 'R -3'
_space_group_IT_number 148
_space_group_name_Hall '-R 3'
_cell_length_a 13.9030
_cell_length_b 13.9030
_cell_length_c 8.8825
_cell_angle_alpha 90.00
_cell_angle_beta 90.00
_cell_angle_gamma 120.00
loop_
_atom_site_label
_atom_site_type_symbol
_atom_site_fract_x
_atom_site_fract_y
_atom_site_fract_z
Dy1 Dy 0.0388 0.2628 0.4243
Dy2 Dy 0.0632 0.1831 0.8296
Mg1 Mg 0.0000 0.0000 0.5000
Ru1 Ru 0.0809 0.5037 0.7892
# final energy: -347.5 eV/cell



Record 17
# SmDyMgRu, relaxed, DFT PBE-GGA
data_SmDyMgRu
_space_group_name_H-M_alt 'F -4 3 m'
_space_group_IT_number 216
_space_group_name_Hall 'F -4 2 3'
_cell_length_a 7.172
_cell_length_b 7.172
_cell_length_c 7.172
_cell_angle_alpha 90.00
_cell_angle_beta 90.00
_cell_angle_gamma 90.00
loop_
_atom_site_label
_atom_site_type_symbol
_atom_site_fract_x
_atom_site_fract_y
_atom_site_fract_z
Sm1 Sm 0.000 0.000 0.000
Dy1 Dy 0.000 0.000 0.500
Mg1 Mg 0.250 0.250 0.750
Ru1 Ru 0.250 0.250 0.250
# distance to the lowest polymorph of the same formula: 88 meV/atom



Record 18
# SmDyMgRu, relaxed, DFT PBE-GGA
data_SmDyMgRu
_space_group_name_H-M_alt 'P 4 m m'
_space_group_IT_number 99
_cell_length_a 3.432
_cell_length_b 3.432
_cell_length_c 8.501
_cell_angle_alpha 90.00
_cell_angle_beta 90.00
_cell_angle_gamma 90.00
loop_
_space_group_symop_operation_xyz
'x,y,z'
'-y,x,z'
'-x,-y,z'
'y,-x,z'
'-x,y,z'
'y,x,z'
'x,-y,z'
'-y,-x,z'
loop_
_atom_site_label
_atom_site_type_symbol
_atom_site_fract_x
_atom_site_fract_y
_atom_site_fract_z
Sm1 Sm 0.000 0.000 0.000
Dy1 Dy 0.000 0.000 0.605
Mg1 Mg 0.500 0.500 0.307
Ru1 Ru 0.500 0.500 0.796
# distance to the lowest polymorph of the same formula: 0 meV/atom



Record 19
# TbDyMgRu, relaxed, DFT PBE-GGA
data_TbDyMgRu
_space_group_name_H-M_alt 'F -4 3 m'
_space_group_IT_number 216
_space_group_name_Hall 'F -4 2 3'
_cell_length_a 7.114
_cell_length_b 7.114
_cell_length_c 7.114
_cell_angle_alpha 90.00
_cell_angle_beta 90.00
_cell_angle_gamma 90.00
loop_
_atom_site_label
_atom_site_type_symbol
_atom_site_fract_x
_atom_site_fract_y
_atom_site_fract_z
Tb1 Tb 0.000 0.000 0.000
Dy1 Dy 0.000 0.000 0.500
Mg1 Mg 0.250 0.250 0.250
Ru1 Ru 0.250 0.250 0.750
# distance to the lowest polymorph of the same formula: 92 meV/atom



Record 20
# TbDyMgRu, relaxed, DFT PBE-GGA
data_TbDyMgRu
_space_group_name_H-M_alt 'P 4 m m'
_space_group_IT_number 99
_cell_length_a 3.448
_cell_length_b 3.448
_cell_length_c 8.110
_cell_angle_alpha 90.00
_cell_angle_beta 90.00
_cell_angle_gamma 90.00
loop_
_space_group_symop_operation_xyz
'x,y,z'
'-y,x,z'
'-x,-y,z'
'y,-x,z'
'-x,y,z'
'y,x,z'
'x,-y,z'
'-y,-x,z'
loop_
_atom_site_label
_atom_site_type_symbol
_atom_site_fract_x
_atom_site_fract_y
_atom_site_fract_z
Tb1 Tb 0.000 0.000 0.000
Dy1 Dy 0.000 0.000 0.592
Mg1 Mg 0.500 0.500 0.298
Ru1 Ru 0.500 0.500 0.795
# distance to the lowest polymorph of the same formula: 0 meV/atom



Record 21
# DyTmMgRu, relaxed, DFT PBE-GGA
data_DyTmMgRu
_space_group_name_H-M_alt 'F -4 3 m'
_space_group_IT_number 216
_space_group_name_Hall 'F -4 2 3'
_cell_length_a 7.055
_cell_length_b 7.055
_cell_length_c 7.055
_cell_angle_alpha 90.00
_cell_angle_beta 90.00
_cell_angle_gamma 90.00
loop_
_atom_site_label
_atom_site_type_symbol
_atom_site_fract_x
_atom_site_fract_y
_atom_site_fract_z
Dy1 Dy 0.000 0.000 0.000
Tm1 Tm 0.000 0.000 0.500
Mg1 Mg 0.250 0.250 0.750
Ru1 Ru 0.250 0.250 0.250
# distance to the lowest polymorph of the same formula: 102 meV/atom



Record 22
# DyTmMgRu, relaxed, DFT PBE-GGA
data_DyTmMgRu
_space_group_name_H-M_alt 'P 4 m m'
_space_group_IT_number 99
_cell_length_a 3.419
_cell_length_b 3.419
_cell_length_c 8.060
_cell_angle_alpha 90.00
_cell_angle_beta 90.00
_cell_angle_gamma 90.00
loop_
_space_group_symop_operation_xyz
'x,y,z'
'-y,x,z'
'-x,-y,z'
'y,-x,z'
'-x,y,z'
'y,x,z'
'x,-y,z'
'-y,-x,z'
loop_
_atom_site_label
_atom_site_type_symbol
_atom_site_fract_x
_atom_site_fract_y
_atom_site_fract_z
Dy1 Dy 0.000 0.000 0.000
Tm1 Tm 0.000 0.000 0.595
Mg1 Mg 0.500 0.500 0.301
Ru1 Ru 0.500 0.500 0.793
# distance to the lowest polymorph of the same formula: 0 meV/atom



Result set for magnetic moment: 0.204, 0.000, 0.000, 0.000, 0.000, 0.000, 0.000, 0.000, 0.000, 0.001, 0.000, 0.000, 0.000, 0.000, 0.000, 0.000, 0.000, 0.000, 0.000, 0.000, 0.000, 0.000 μB per formula unit, one per record in the order listed.